Entry 1:
The following is a DFT calculation (GGA-PBE) of a relaxed structure of Nd8DyGa6.

Properties
Space group   R-3
Fermi-level density of states   18.040 states/eV per cell
Total magnetization   0.00 μB per formula unit

abc: 8.1377 8.1377 8.1377
angles: 65.95 65.95 65.95
Atoms (fractional coordinates):
Nd 0.0527 0.3870 0.7202
Nd 0.1660 0.1660 0.1660
Nd 0.2798 0.9473 0.6130
Nd 0.3870 0.7202 0.0527
Nd 0.6130 0.2798 0.9473
Nd 0.7202 0.0527 0.3870
Nd 0.8340 0.8340 0.8340
Nd 0.9473 0.6130 0.2798
Dy 0.5000 0.5000 0.5000
Ga 0.1173 0.7718 0.4450
Ga 0.2282 0.5550 0.8827
Ga 0.4450 0.1173 0.7718
Ga 0.5550 0.8827 0.2282
Ga 0.7718 0.4450 0.1173
Ga 0.8827 0.2282 0.5550



Entry 2:
The following is a DFT calculation (GGA-PBE) of a relaxed structure of Nd5DyGa4.

Properties
Space group   Pmmn
Fermi-level density of states   17.358 states/eV per cell
Total magnetization   0.00 μB per formula unit

abc: 7.9356 8.7972 8.3544
angles: 90.00 90.00 90.00
Atoms (fractional coordinates):
Nd 0.0025 0.0544 0.2320
Nd 0.0025 0.4456 0.2320
Nd 0.2500 0.2500 0.8506
Nd 0.4975 0.0544 0.2320
Nd 0.4975 0.4456 0.2320
Nd 0.5025 0.5544 0.7680
Nd 0.5025 0.9456 0.7680
Nd 0.7500 0.7500 0.1494
Nd 0.9975 0.5544 0.7680
Nd 0.9975 0.9456 0.7680
Dy 0.2500 0.7500 0.4192
Dy 0.7500 0.2500 0.5808
Ga 0.0972 0.7500 0.0646
Ga 0.2500 0.0961 0.5139
Ga 0.2500 0.4039 0.5139
Ga 0.4028 0.7500 0.0646
Ga 0.5972 0.2500 0.9354
Ga 0.7500 0.5961 0.4861
Ga 0.7500 0.9039 0.4861
Ga 0.9028 0.2500 0.9354



Entry 3:
The following is a DFT calculation (GGA-PBE) of a relaxed structure of Nd2Dy2Ga3.

Properties
Space group   C2/m
Fermi-level density of states   12.460 states/eV per cell
Total magnetization   0.00 μB per formula unit

abc: 14.4328 3.6529 7.7307
angles: 90.00 115.01 90.00
Atoms (fractional coordinates):
Nd 0.1807 0.0000 0.2716
Nd 0.3193 0.5000 0.7284
Nd 0.6807 0.5000 0.2716
Nd 0.8193 0.0000 0.7284
Dy 0.1032 0.0000 0.7865
Dy 0.3968 0.5000 0.2135
Dy 0.6032 0.5000 0.7865
Dy 0.8968 0.0000 0.2135
Ga 0.0000 0.5000 0.0000
Ga 0.0819 0.5000 0.4619
Ga 0.4181 0.0000 0.5381
Ga 0.5000 0.0000 0.0000
Ga 0.5819 0.0000 0.4619
Ga 0.9181 0.5000 0.5381



Entry 4:
The following is a DFT calculation (GGA-PBE) of a relaxed structure of Nd2DyGa.

Properties
Space group   P4/mmm
Distance to the lowest polymorph of the same formula   0.026 eV/atom
Fermi-level density of states   6.102 states/eV per cell
Total magnetization   0.00 μB per formula unit

abc: 4.8061 4.8061 4.8508
angles: 90.00 90.00 90.00
Atoms (fractional coordinates):
Nd 0.0000 0.5000 0.0000
Nd 0.5000 0.0000 0.0000
Dy 0.0000 0.0000 0.5000
Ga 0.5000 0.5000 0.5000



Entry 5:
The following is a DFT calculation (GGA-PBE) of a relaxed structure of Nd2DyGa4.

Properties
Space group   Immm
Fermi-level density of states   11.738 states/eV per cell
Total magnetization   0.49 μB per formula unit

abc: 4.1945 4.3239 18.7600
angles: 90.00 90.00 90.00
Atoms (fractional coordinates):
Nd 0.0000 0.0000 0.1842
Nd 0.0000 0.0000 0.8158
Nd 0.5000 0.5000 0.3158
Nd 0.5000 0.5000 0.6842
Dy 0.0000 0.5000 0.5000
Dy 0.5000 0.0000 0.0000
Ga 0.0000 0.0000 0.3596
Ga 0.0000 0.0000 0.6404
Ga 0.0000 0.5000 0.0648
Ga 0.0000 0.5000 0.9352
Ga 0.5000 0.0000 0.4352
Ga 0.5000 0.0000 0.5648
Ga 0.5000 0.5000 0.1404
Ga 0.5000 0.5000 0.8596



Entry 6:
The following is a DFT calculation (GGA-PBE) of a relaxed structure of Nd2DyGa.

Properties
Space group   R3m
Distance to the lowest polymorph of the same formula   0.112 eV/atom
Fermi-level density of states   15.306 states/eV per cell
Total magnetization   0.61 μB per formula unit

abc: 3.7123 3.7123 31.3206
angles: 90.00 90.00 120.00
Atoms (fractional coordinates):
Nd 0.0000 0.0000 0.0000
Nd 0.0000 0.0000 0.1899
Nd 0.3333 0.6667 0.6667
Nd 0.3333 0.6667 0.8566
Nd 0.6667 0.3333 0.3333
Nd 0.6667 0.3333 0.5233
Dy 0.0000 0.0000 0.4285
Dy 0.3333 0.6667 0.0952
Dy 0.6667 0.3333 0.7618
Ga 0.0000 0.0000 0.5946
Ga 0.3333 0.6667 0.2613
Ga 0.6667 0.3333 0.9280



Entry 7:
The following is a DFT calculation (GGA-PBE) of a relaxed structure of NdDyGa.

Properties
Space group   F-43m
Distance to the lowest polymorph of the same formula   0.168 eV/atom
Fermi-level density of states   17.998 states/eV per cell
Total magnetization   0.00 μB per formula unit

abc: 7.1184 7.1184 7.1184
angles: 90.00 90.00 90.00
Atoms (fractional coordinates):
Nd 0.0000 0.0000 0.0000
Nd 0.0000 0.5000 0.5000
Nd 0.5000 0.0000 0.5000
Nd 0.5000 0.5000 0.0000
Dy 0.0000 0.0000 0.5000
Dy 0.0000 0.5000 0.0000
Dy 0.5000 0.0000 0.0000
Dy 0.5000 0.5000 0.5000
Ga 0.2500 0.2500 0.7500
Ga 0.2500 0.7500 0.2500
Ga 0.7500 0.2500 0.2500
Ga 0.7500 0.7500 0.7500



Entry 8:
The following is a DFT calculation (GGA-PBE) of a relaxed structure of Nd2DyGa.

Properties
Space group   Fm-3m
Distance to the lowest polymorph of the same formula   0.162 eV/atom
Fermi-level density of states   28.840 states/eV per cell
Total magnetization   0.00 μB per formula unit

abc: 7.6862 7.6862 7.6862
angles: 90.00 90.00 90.00
Atoms (fractional coordinates):
Nd 0.2500 0.2500 0.2500
Nd 0.2500 0.2500 0.7500
Nd 0.2500 0.7500 0.2500
Nd 0.2500 0.7500 0.7500
Nd 0.7500 0.2500 0.2500
Nd 0.7500 0.2500 0.7500
Nd 0.7500 0.7500 0.2500
Nd 0.7500 0.7500 0.7500
Dy 0.0000 0.0000 0.0000
Dy 0.0000 0.5000 0.5000
Dy 0.5000 0.0000 0.5000
Dy 0.5000 0.5000 0.0000
Ga 0.0000 0.0000 0.5000
Ga 0.0000 0.5000 0.0000
Ga 0.5000 0.0000 0.0000
Ga 0.5000 0.5000 0.5000



Entry 9:
The following is a DFT calculation (GGA-PBE) of a relaxed structure of NdDy2Ga2.

Properties
Space group   P4/mbm
Distance to the lowest polymorph of the same formula   0.000 eV/atom
Fermi-level density of states   10.888 states/eV per cell
Total magnetization   0.00 μB per formula unit

abc: 7.7143 7.7143 4.3775
angles: 90.00 90.00 90.00
Atoms (fractional coordinates):
Nd 0.0000 0.0000 0.0000
Nd 0.5000 0.5000 0.0000
Dy 0.1737 0.3263 0.5000
Dy 0.3263 0.8263 0.5000
Dy 0.6737 0.1737 0.5000
Dy 0.8263 0.6737 0.5000
Ga 0.1181 0.6181 0.0000
Ga 0.3819 0.1181 0.0000
Ga 0.6181 0.8819 0.0000
Ga 0.8819 0.3819 0.0000



Entry 10:
The following is a DFT calculation (GGA-PBE) of a relaxed structure of Nd2DyGa3.

Properties
Space group   Cmcm
Distance to the lowest polymorph of the same formula   0.084 eV/atom
Fermi-level density of states   11.350 states/eV per cell
Total magnetization   0.00 μB per formula unit

abc: 10.8384 10.8384 6.2817
angles: 90.00 90.00 154.88
Atoms (fractional coordinates):
Nd 0.0349 0.9651 0.7500
Nd 0.1468 0.8532 0.2500
Nd 0.8532 0.1468 0.7500
Nd 0.9651 0.0349 0.2500
Dy 0.3251 0.6749 0.2500
Dy 0.6749 0.3251 0.7500
Ga 0.2564 0.7436 0.7500
Ga 0.4376 0.5624 0.5472
Ga 0.4376 0.5624 0.9528
Ga 0.5624 0.4376 0.0472
Ga 0.5624 0.4376 0.4528
Ga 0.7436 0.2564 0.2500



Entry 11:
The following is a DFT calculation (GGA-PBE) of a relaxed structure of NdDy3Ga4.

Properties
Space group   P4/mmm
Fermi-level density of states   2.978 states/eV per cell
Total magnetization   0.00 μB per formula unit

abc: 5.0954 5.0954 7.1981
angles: 90.00 90.00 90.00
Atoms (fractional coordinates):
Nd 0.0000 0.0000 0.0000
Dy 0.0000 0.0000 0.5000
Dy 0.5000 0.5000 0.0000
Dy 0.5000 0.5000 0.5000
Ga 0.0000 0.5000 0.2574
Ga 0.0000 0.5000 0.7426
Ga 0.5000 0.0000 0.2574
Ga 0.5000 0.0000 0.7426



Entry 12:
The following is a DFT calculation (GGA-PBE) of a relaxed structure of Nd2DyGa.

Properties
Space group   P4/mmm
Distance to the lowest polymorph of the same formula   0.025 eV/atom
Fermi-level density of states   4.394 states/eV per cell
Total magnetization   0.00 μB per formula unit

abc: 3.6144 3.6144 9.0500
angles: 90.00 90.00 90.00
Atoms (fractional coordinates):
Nd 0.0000 0.0000 0.2121
Nd 0.0000 0.0000 0.7879
Dy 0.5000 0.5000 0.5000
Ga 0.5000 0.5000 0.0000



| no. | DFT formation energy (eV/f.u.) |
| --- | --- |
| 1 | -5.359 |
| 2 | -2.560 |
| 3 | -3.011 |
| 4 | -0.919 |
| 5 | -4.255 |
| 6 | -0.575 |
| 7 | -0.706 |
| 8 | -0.378 |
| 9 | -2.365 |
| 10 | -2.860 |
| 11 | -4.592 |
| 12 | -0.927 |